# ZrSb2WO, optimized geometry, DFT GGA+U
data_ZrSb2WO
_chemical_formula_sum 'Zr1 Sb2 W1 O1'
_space_group_name_H-M_alt 'P 4/m m m'
_space_group_IT_number 123
_space_group_name_Hall '-P 4 2'
_cell_length_a 5.010
_cell_length_b 5.010
_cell_length_c 4.124
_cell_angle_alpha 90.00
_cell_angle_beta 90.00
_cell_angle_gamma 90.00
loop_
_atom_site_label
_atom_site_fract_x
_atom_site_fract_y
_atom_site_fract_z
_atom_site_occupancy
Zr1 0.000 0.000 0.000 1
Sb1 0.000 0.500 0.500 1
W1 0.500 0.500 0.000 1
O1 0.000 0.000 0.500 1
# DOS(E_F): 0.54 states/eV per atom
# Spin magnetization: 2.6 μB/cell
# VASP energy: -5.8773 eV per atom